Model one:
# Ac2MgIr2 (PBE, relaxed)
data_Ac2MgIr2
_chemical_formula_sum 'Ac2 Mg1 Ir2'
_cell_length_a 4.385
_cell_length_b 5.969
_cell_length_c 5.968
_cell_angle_alpha 63.07
_cell_angle_beta 68.45
_cell_angle_gamma 68.45
_symmetry_space_group_name_H-M 'P 1'
_symmetry_Int_Tables_number 1
loop_
_symmetry_equiv_pos_as_xyz
'x,y,z'
loop_
_atom_site_label
_atom_site_fract_x
_atom_site_fract_y
_atom_site_fract_z
Ac1 0.698 0.802 0.302
Ac2 0.302 0.198 0.698
Ir1 0.000 0.765 0.735
Ir2 0.000 0.235 0.265
Mg1 0.500 0.500 0.000
# - M_tot: 0.00 μB/cell
# - Fermi-level density of states: 2.9 states/eV/cell


Model two:
# Ac2MgIr2 (PBE, relaxed)
data_Ac2MgIr2
_chemical_formula_sum 'Ac4 Mg2 Ir4'
_cell_length_a 4.355
_cell_length_b 6.492
_cell_length_c 9.891
_cell_angle_alpha 88.75
_cell_angle_beta 77.28
_cell_angle_gamma 70.41
_symmetry_space_group_name_H-M 'P 1'
_symmetry_Int_Tables_number 1
loop_
_symmetry_equiv_pos_as_xyz
'x,y,z'
loop_
_atom_site_label
_atom_site_fract_x
_atom_site_fract_y
_atom_site_fract_z
Mg1 0.337 0.939 0.386
Mg2 0.663 0.061 0.614
Ac1 0.328 0.659 0.685
Ac2 0.074 0.746 0.106
Ac3 0.926 0.254 0.894
Ac4 0.672 0.341 0.315
Ir1 0.637 0.832 0.894
Ir2 0.061 0.315 0.563
Ir3 0.363 0.168 0.106
Ir4 0.939 0.685 0.437
# - M_tot: 0.00 μB/cell
# - Fermi-level density of states: 5.9 states/eV/cell


Need the numbers? Relative energies in meV/atom: model one 0; model two 29.


Model one:
# AcMgIr (PBE, relaxed)
data_AcMgIr
_chemical_formula_sum 'Ac6 Mg6 Ir6'
_cell_length_a 4.321
_cell_length_b 7.644
_cell_length_c 13.217
_cell_angle_alpha 90.15
_cell_angle_beta 90.00
_cell_angle_gamma 90.00
_symmetry_space_group_name_H-M 'P 1'
_symmetry_Int_Tables_number 1
loop_
_symmetry_equiv_pos_as_xyz
'x,y,z'
loop_
_atom_site_label
_atom_site_fract_x
_atom_site_fract_y
_atom_site_fract_z
Ir1 0.250 0.741 0.249
Ir2 0.750 0.239 0.083
Ir3 0.250 0.761 0.917
Ir4 0.250 0.239 0.418
Ir5 0.750 0.259 0.751
Ir6 0.750 0.761 0.582
Ac1 0.750 0.037 0.286
Ac2 0.250 0.464 0.623
Ac3 0.750 0.658 0.084
Ac4 0.250 0.963 0.714
Ac5 0.750 0.536 0.377
Ac6 0.250 0.342 0.916
Mg1 0.250 0.868 0.463
Mg2 0.250 0.360 0.198
Mg3 0.750 0.640 0.802
Mg4 0.750 0.996 0.919
Mg5 0.750 0.132 0.537
Mg6 0.250 0.004 0.081
# - M_tot: 0.00 μB/cell
# - Fermi-level density of states: 8.1 states/eV/cell


Model two:
# AcMgIr (PBE, relaxed)
data_AcMgIr
_chemical_formula_sum 'Ac1 Mg1 Ir1'
_cell_length_a 4.896
_cell_length_b 4.896
_cell_length_c 4.896
_cell_angle_alpha 60.00
_cell_angle_beta 60.00
_cell_angle_gamma 60.00
_symmetry_space_group_name_H-M 'P 1'
_symmetry_Int_Tables_number 1
loop_
_symmetry_equiv_pos_as_xyz
'x,y,z'
loop_
_atom_site_label
_atom_site_fract_x
_atom_site_fract_y
_atom_site_fract_z
Mg1 0.500 0.500 0.500
Ir1 0.250 0.250 0.250
Ac1 0.000 0.000 0.000
# - M_tot: 0.00 μB/cell
# - Fermi-level density of states: 0.9 states/eV/cell


Need the numbers? Relative energies in meV/atom: model one 0; model two 193.


Model one:
# Ac3IrN (PBE, relaxed)
data_Ac3IrN
_chemical_formula_sum 'Ac6 Ir2 N2'
_cell_length_a 4.428
_cell_length_b 6.944
_cell_length_c 11.610
_cell_angle_alpha 107.40
_cell_angle_beta 90.00
_cell_angle_gamma 90.00
_symmetry_space_group_name_H-M 'P 1'
_symmetry_Int_Tables_number 1
loop_
_symmetry_equiv_pos_as_xyz
'x,y,z'
loop_
_atom_site_label
_atom_site_fract_x
_atom_site_fract_y
_atom_site_fract_z
Ac1 0.250 0.680 0.441
Ac2 0.750 0.901 0.793
Ac3 0.250 0.108 0.207
Ac4 0.750 0.240 0.559
Ac5 0.250 0.456 0.831
Ac6 0.750 0.625 0.169
N1 0.750 0.533 0.750
N2 0.250 0.783 0.250
Ir1 0.750 0.385 0.337
Ir2 0.250 0.048 0.663
# - M_tot: 0.00 μB/cell
# - Fermi-level density of states: 6.1 states/eV/cell


Model two:
# Ac3IrN (PBE, relaxed)
data_Ac3IrN
_chemical_formula_sum 'Ac3 Ir1 N1'
_cell_length_a 5.177
_cell_length_b 5.177
_cell_length_c 5.177
_cell_angle_alpha 90.00
_cell_angle_beta 90.00
_cell_angle_gamma 90.00
_symmetry_space_group_name_H-M 'P 1'
_symmetry_Int_Tables_number 1
loop_
_symmetry_equiv_pos_as_xyz
'x,y,z'
loop_
_atom_site_label
_atom_site_fract_x
_atom_site_fract_y
_atom_site_fract_z
Ac1 0.000 0.500 0.000
Ac2 0.000 0.000 0.500
Ac3 0.500 0.000 0.000
Ir1 0.500 0.500 0.500
N1 0.000 0.000 0.000
# - M_tot: 0.00 μB/cell
# - Fermi-level density of states: 4.4 states/eV/cell


Need the numbers? Relative energies in meV/atom: model one 0; model two 302.


Model one:
# Ac6Ir3N (PBE, relaxed)
data_Ac6Ir3N
_chemical_formula_sum 'Ac12 Ir6 N2'
_cell_length_a 7.114
_cell_length_b 7.775
_cell_length_c 10.815
_cell_angle_alpha 90.00
_cell_angle_beta 92.02
_cell_angle_gamma 90.00
_symmetry_space_group_name_H-M 'P 1'
_symmetry_Int_Tables_number 1
loop_
_symmetry_equiv_pos_as_xyz
'x,y,z'
loop_
_atom_site_label
_atom_site_fract_x
_atom_site_fract_y
_atom_site_fract_z
Ir1 0.544 0.898 0.742
Ir2 0.456 0.102 0.258
Ir3 0.956 0.398 0.758
Ir4 0.044 0.602 0.242
Ir5 0.000 0.000 0.500
Ir6 0.500 0.500 0.000
Ac1 0.303 0.828 0.076
Ac2 0.803 0.672 0.576
Ac3 0.645 0.448 0.259
Ac4 0.697 0.172 0.924
Ac5 0.833 0.692 0.933
Ac6 0.667 0.192 0.567
Ac7 0.145 0.052 0.759
Ac8 0.197 0.328 0.424
Ac9 0.167 0.308 0.067
Ac10 0.355 0.552 0.741
Ac11 0.333 0.808 0.433
Ac12 0.855 0.948 0.241
N1 0.000 0.000 0.000
N2 0.500 0.500 0.500
# - M_tot: 0.00 μB/cell
# - Fermi-level density of states: 11.2 states/eV/cell


Model two:
# Ac6Ir3N (PBE, relaxed)
data_Ac6Ir3N
_chemical_formula_sum 'Ac12 Ir6 N2'
_cell_length_a 4.284
_cell_length_b 10.107
_cell_length_c 14.436
_cell_angle_alpha 93.30
_cell_angle_beta 90.00
_cell_angle_gamma 90.00
_symmetry_space_group_name_H-M 'P 1'
_symmetry_Int_Tables_number 1
loop_
_symmetry_equiv_pos_as_xyz
'x,y,z'
loop_
_atom_site_label
_atom_site_fract_x
_atom_site_fract_y
_atom_site_fract_z
Ac1 0.750 0.492 0.627
Ac2 0.250 0.857 0.527
Ac3 0.750 0.143 0.473
Ac4 0.250 0.550 0.875
Ac5 0.250 0.188 0.703
Ac6 0.750 0.450 0.125
Ac7 0.750 0.812 0.297
Ac8 0.250 0.159 0.962
Ac9 0.250 0.126 0.244
Ac10 0.750 0.874 0.756
Ac11 0.750 0.841 0.038
Ac12 0.250 0.508 0.373
Ir1 0.750 0.137 0.106
Ir2 0.250 0.863 0.894
Ir3 0.750 0.358 0.818
Ir4 0.250 0.331 0.533
Ir5 0.250 0.642 0.182
Ir6 0.750 0.669 0.467
N1 0.750 0.028 0.624
N2 0.250 0.972 0.376
# - M_tot: 0.00 μB/cell
# - Fermi-level density of states: 9.5 states/eV/cell


Need the numbers? Relative energies in meV/atom: model one 0; model two 21.


Model one:
# Ac3NdIr (PBE, relaxed)
data_Ac3NdIr
_chemical_formula_sum 'Ac6 Nd2 Ir2'
_cell_length_a 7.959
_cell_length_b 7.959
_cell_length_c 8.927
_cell_angle_alpha 55.65
_cell_angle_beta 55.65
_cell_angle_gamma 73.96
_symmetry_space_group_name_H-M 'P 1'
_symmetry_Int_Tables_number 1
loop_
_symmetry_equiv_pos_as_xyz
'x,y,z'
loop_
_atom_site_label
_atom_site_fract_x
_atom_site_fract_y
_atom_site_fract_z
Ir1 0.754 0.754 0.841
Ir2 0.246 0.246 0.159
Ac1 0.452 0.452 0.256
Ac2 0.552 0.956 0.207
Ac3 0.448 0.044 0.793
Ac4 0.548 0.548 0.744
Ac5 0.044 0.448 0.793
Ac6 0.956 0.552 0.207
Nd1 0.955 0.955 0.347
Nd2 0.045 0.045 0.653
# - M_tot: 0.00 μB/cell
# - Fermi-level density of states: 12.2 states/eV/cell


Model two:
# Ac3NdIr (PBE, relaxed)
data_Ac3NdIr
_chemical_formula_sum 'Ac3 Nd1 Ir1'
_cell_length_a 5.906
_cell_length_b 5.906
_cell_length_c 5.906
_cell_angle_alpha 90.00
_cell_angle_beta 90.00
_cell_angle_gamma 90.00
_symmetry_space_group_name_H-M 'P 1'
_symmetry_Int_Tables_number 1
loop_
_symmetry_equiv_pos_as_xyz
'x,y,z'
loop_
_atom_site_label
_atom_site_fract_x
_atom_site_fract_y
_atom_site_fract_z
Nd1 0.500 0.500 0.500
Ac1 0.000 0.000 0.500
Ac2 0.500 0.000 0.000
Ac3 0.000 0.500 0.000
Ir1 0.000 0.000 0.000
# - M_tot: 1.23 μB/cell
# - Fermi-level density of states: 7.8 states/eV/cell


Need the numbers? Relative energies in meV/atom: model one 0; model two 115.


Model one:
# AcNd2Ir (PBE, relaxed)
data_AcNd2Ir
_chemical_formula_sum 'Ac4 Nd8 Ir4'
_cell_length_a 6.681
_cell_length_b 7.533
_cell_length_c 10.135
_cell_angle_alpha 90.00
_cell_angle_beta 90.00
_cell_angle_gamma 90.00
_symmetry_space_group_name_H-M 'P 1'
_symmetry_Int_Tables_number 1
loop_
_symmetry_equiv_pos_as_xyz
'x,y,z'
loop_
_atom_site_label
_atom_site_fract_x
_atom_site_fract_y
_atom_site_fract_z
Nd1 0.170 0.673 0.069
Nd2 0.330 0.173 0.069
Nd3 0.830 0.327 0.931
Nd4 0.330 0.173 0.431
Nd5 0.670 0.827 0.569
Nd6 0.830 0.327 0.569
Nd7 0.170 0.673 0.431
Nd8 0.670 0.827 0.931
Ac1 0.355 0.461 0.750
Ac2 0.645 0.539 0.250
Ac3 0.855 0.039 0.250
Ac4 0.145 0.961 0.750
Ir1 0.578 0.119 0.750
Ir2 0.422 0.881 0.250
Ir3 0.922 0.619 0.750
Ir4 0.078 0.381 0.250
# - M_tot: 0.00 μB/cell
# - Fermi-level density of states: 18.7 states/eV/cell


Model two:
# AcNd2Ir (PBE, relaxed)
data_AcNd2Ir
_chemical_formula_sum 'Ac1 Nd2 Ir1'
_cell_length_a 3.671
_cell_length_b 3.671
_cell_length_c 9.394
_cell_angle_alpha 90.00
_cell_angle_beta 90.00
_cell_angle_gamma 90.00
_symmetry_space_group_name_H-M 'P 1'
_symmetry_Int_Tables_number 1
loop_
_symmetry_equiv_pos_as_xyz
'x,y,z'
loop_
_atom_site_label
_atom_site_fract_x
_atom_site_fract_y
_atom_site_fract_z
Ac1 0.500 0.500 0.500
Ir1 0.500 0.500 0.000
Nd1 0.000 0.000 0.174
Nd2 0.000 0.000 0.826
# - M_tot: 0.00 μB/cell
# - Fermi-level density of states: 4.6 states/eV/cell


Model three:
# AcNd2Ir (PBE, relaxed)
data_AcNd2Ir
_chemical_formula_sum 'Ac1 Nd2 Ir1'
_cell_length_a 4.168
_cell_length_b 4.168
_cell_length_c 9.788
_cell_angle_alpha 77.71
_cell_angle_beta 77.71
_cell_angle_gamma 60.00
_symmetry_space_group_name_H-M 'P 1'
_symmetry_Int_Tables_number 1
loop_
_symmetry_equiv_pos_as_xyz
'x,y,z'
loop_
_atom_site_label
_atom_site_fract_x
_atom_site_fract_y
_atom_site_fract_z
Nd1 0.280 0.280 0.161
Nd2 0.053 0.053 0.841
Ac1 0.501 0.501 0.497
Ir1 0.666 0.666 0.001
# - M_tot: 0.00 μB/cell
# - Fermi-level density of states: 3.8 states/eV/cell


Need the numbers? Relative energies in meV/atom: model one 0; model two 177; model three 110.